No. 1
Computed, not measured: a relaxed structure of ScTl2Cd at the PBE level of DFT.

Unit cell a=6.568 b=6.568 c=6.568 alpha=103.87 beta=103.87 gamma=121.37
Sites, in units of the cell vectors:
Sc (0.000, 0.000, 0.000)
Sc (0.750, 0.250, 0.500)
Tl (0.132, 0.625, 0.007)
Tl (0.375, 0.382, 0.507)
Tl (0.618, 0.125, 0.993)
Tl (0.875, 0.868, 0.493)
Cd (0.250, 0.750, 0.500)
Cd (0.500, 0.500, 0.000)

Values from the calculation:
ΔH_f (0 K): 0.055 eV/atom
crystal system: tetragonal
distance to the lowest polymorph of the same formula: 74 kJ/mol of formula units
SG: No. 122

***

No. 2
Computed, not measured: a relaxed structure of PuGeAu2 at the PBE level of DFT.

Unit cell a=11.110 b=11.110 c=11.110 alpha=15.19 beta=15.19 gamma=15.19
Sites, in units of the cell vectors:
Pu (0.000, 0.000, 0.000)
Ge (0.500, 0.500, 0.500)
Au (0.091, 0.091, 0.091)
Au (0.909, 0.909, 0.909)

Values from the calculation:
ΔH_f (0 K): 0.176 eV/atom
crystal system: trigonal
SG: No. 166

***

No. 3
Computed, not measured: a relaxed structure of CsSr3Pd at the PBE level of DFT.

Unit cell a=8.599 b=8.599 c=14.577 alpha=93.14 beta=93.14 gamma=30.40
Sites, in units of the cell vectors:
Cs (0.122, 0.122, 0.466)
Cs (0.878, 0.878, 0.534)
Sr (0.142, 0.142, 0.017)
Sr (0.239, 0.239, 0.766)
Sr (0.479, 0.479, 0.205)
Sr (0.521, 0.521, 0.795)
Sr (0.761, 0.761, 0.234)
Sr (0.858, 0.858, 0.983)
Pd (0.314, 0.314, 0.114)
Pd (0.686, 0.686, 0.886)

Values from the calculation:
ΔH_f (0 K): -0.212 eV/atom
crystal system: monoclinic
distance to the lowest polymorph of the same formula: 14 kJ/mol of formula units
SG: No. 12